# SrSmGa (GGA-PBE, relaxed)
# * total DFT energy (no corrections): -9.8 eV per formula unit
data_SrSmGa
_chemical_formula_sum 'Sr4 Sm4 Ga4'
_cell_length_a 7.438
_cell_length_b 7.438
_cell_length_c 7.438
_cell_angle_alpha 90.00
_cell_angle_beta 90.00
_cell_angle_gamma 90.00
_space_group_name_H-M_alt 'P 1'
_space_group_IT_number 1
loop_
_space_group_symop_operation_xyz
'x,y,z'
loop_
_atom_site_label
_atom_site_fract_x
_atom_site_fract_y
_atom_site_fract_z
_atom_site_occupancy
Sr1 0.000 0.000 0.000 1
Sr2 0.000 0.500 0.500 1
Sr3 0.500 0.000 0.500 1
Sr4 0.500 0.500 0.000 1
Sm1 0.000 0.000 0.500 1
Sm2 0.000 0.500 0.000 1
Sm3 0.500 0.000 0.000 1
Sm4 0.500 0.500 0.500 1
Ga1 0.250 0.250 0.750 1
Ga2 0.250 0.750 0.250 1
Ga3 0.750 0.250 0.250 1
Ga4 0.750 0.750 0.750 1